PmScTl after structural relaxation. Source: OQMD via LeMat-Bulk, functional PBE-GGA.

The calculation puts the energy above the most stable polymorph in this dataset at 0 meV/atom. As for the space group: F-43m. As for the total DFT energy (no corrections): -4.4864 eV/atom.

Geometry as POSCAR:
```
PmScTl
1.0
0.000 3.594 3.594
3.594 0.000 3.594
3.594 3.594 0.000
Pm Sc Tl
1 1 1
Direct
0.250 0.250 0.250
0.750 0.750 0.750
0.000 0.000 0.000
```